(1)
First-principles (PBE) data for a geometry-optimized La2Dy6Tm structure, as listed in Alexandria via LeMat-Bulk.

abc: 9.8174 9.8174 3.4969
angles: 90.07 90.07 60.00
Atoms (fractional coordinates):
La 0.1667 0.1667 0.0001
La 0.8333 0.8333 0.9999
Dy 0.1706 0.5000 0.4994
Dy 0.1706 0.8294 0.5000
Dy 0.5000 0.1706 0.4994
Dy 0.5000 0.8294 0.5006
Dy 0.8294 0.1706 0.5000
Dy 0.8294 0.5000 0.5006
Tm 0.5000 0.5000 0.0000

Output
E_form	1.6	kcal/mol of atoms
DOS at the Fermi energy	13.607	states/eV/f.u.
energy above the lowest structure with this stoichiometry	2.9	meV/atom
E_tot	-41.32	eV for the cell shown
space-group type	C2/m (12)

***

(2)
First-principles (PBE) data for a geometry-optimized Tl5Rh structure, as listed in Alexandria via LeMat-Bulk.

abc: 5.9620 5.9620 5.9308
angles: 90.00 90.00 120.00
Atoms (fractional coordinates):
Tl 0.0000 0.5000 0.0000
Tl 0.3333 0.6667 0.5000
Tl 0.5000 0.0000 0.0000
Tl 0.5000 0.5000 0.0000
Tl 0.6667 0.3333 0.5000
Rh 0.0000 0.0000 0.5000

Output
E_form	14.2	kcal/mol of atoms
DOS at the Fermi energy	5.265	states/eV/f.u.
energy above the lowest structure with this stoichiometry	528.7	meV/atom
E_tot	-15.50	eV for the cell shown
space-group type	P6/mmm (191)

***

(3)
First-principles (PBE) data for a geometry-optimized Co3SiPb structure, as listed in Alexandria via LeMat-Bulk.

abc: 4.2817 4.2817 4.2817
angles: 90.00 90.00 90.00
Atoms (fractional coordinates):
Co 0.0000 0.0000 0.5000
Co 0.0000 0.5000 0.0000
Co 0.5000 0.0000 0.0000
Si 0.0000 0.0000 0.0000
Pb 0.5000 0.5000 0.5000

Output
DOS at the Fermi energy	3.981	states/eV/f.u.
energy above the lowest structure with this stoichiometry	0.0	meV/atom
E_tot	-28.19	eV for the cell shown
space-group type	Pm-3m (221)

***

(4)
First-principles (PBE) data for a geometry-optimized CoCuRe2 structure, as listed in Alexandria via LeMat-Bulk.

abc: 4.6290 4.6290 4.6124
angles: 100.35 100.35 33.58
Atoms (fractional coordinates):
Co 0.0000 0.0000 0.0000
Cu 0.5000 0.5000 0.5000
Re 0.2581 0.2581 0.7567
Re 0.7419 0.7419 0.2433

Output
E_form	5.5	kcal/mol of atoms
DOS at the Fermi energy	3.837	states/eV/f.u.
energy above the lowest structure with this stoichiometry	79.4	meV/atom
E_tot	-35.14	eV for the cell shown
space-group type	C2/m (12)

***

(5)
First-principles (PBE) data for a geometry-optimized Cr2PtPb structure, as listed in Alexandria via LeMat-Bulk.

abc: 2.8757 4.1653 5.8176
angles: 90.00 90.00 90.00
Atoms (fractional coordinates):
Cr 0.0000 0.0000 0.1674
Cr 0.0000 0.0000 0.8326
Pt 0.5000 0.5000 0.0000
Pb 0.5000 0.5000 0.5000

Output
E_form	9.2	kcal/mol of atoms
DOS at the Fermi energy	3.697	states/eV/f.u.
E_tot	-27.41	eV for the cell shown
space-group type	Pmmm (47)

***

(6)
First-principles (PBE) data for a geometry-optimized CaAl2AgN structure, as listed in Alexandria via LeMat-Bulk.

abc: 5.6912 5.6912 5.2543
angles: 90.00 90.00 90.00
Atoms (fractional coordinates):
Ca 0.0000 0.0000 0.0000
Al 0.0000 0.5000 0.0000
Al 0.5000 0.0000 0.0000
Ag 0.0000 0.0000 0.5000
N 0.5000 0.5000 0.5000

Output
DOS at the Fermi energy	3.794	states/eV/f.u.
E_tot	-9.51	eV for the cell shown
space-group type	P4/mmm (123)